## Na2Sc2Mn (PBE)

Data for a relaxed Na2Sc2Mn crystal.

Unit cell a=3.4801 b=3.4801 c=9.4987 alpha=79.44 beta=79.44 gamma=90.00
With the nearest neighbours (Å) after each atom.
Atoms (fractional coordinates):
Sc1 0.4227 0.4227 0.1546  1 Sc 2.84, 4 Mn 2.84
Sc2 0.5773 0.5773 0.8454  1 Sc 2.84, 4 Mn 2.84
Na1 0.7500 0.2500 0.5000  4 Na 2.46
Na2 0.2500 0.7500 0.5000  4 Na 2.46
Mn1 0.0000 0.0000 0.0000  8 Sc 2.84

Values from the calculation:
* energy above the most stable polymorph in this dataset: 36 kJ/mol of formula units
* symmetry: No. 139
* calculated density: 2.85 g/cm³
* formation enthalpy at 0 K: 0.595 eV/atom
* energy: -4.300 eV per atom